Record 1
# HgTe2NO (meta-GGA SCAN, PBEsol geometry)
data_HgTe2NO
_chemical_formula_sum 'Hg1 Te2 N1 O1'
_cell_length_a 5.6779
_cell_length_b 5.6779
_cell_length_c 3.9284
_cell_angle_alpha 90.00
_cell_angle_beta 90.00
_cell_angle_gamma 90.00
_symmetry_space_group_name_H-M 'P 1'
_symmetry_Int_Tables_number 1
_symmetry_space_group_name_Hall 'P 1'
loop_
_atom_site_label
_atom_site_type_symbol
_atom_site_fract_x
_atom_site_fract_y
_atom_site_fract_z
Hg1 Hg 0.0000 0.0000 0.0000
Te1 Te 0.0000 0.5000 0.0000
Te2 Te 0.5000 0.0000 0.0000
N1 N 0.0000 0.0000 0.5000
O1 O 0.5000 0.5000 0.5000
# formation energy from raw total energies: 1651.2 meV/atom
# magnetization: 4.7 μB per cell



Record 2
# ZrAsRu2 (meta-GGA SCAN, PBEsol geometry)
data_ZrAsRu2
_chemical_formula_sum 'Zr1 As1 Ru2'
_cell_length_a 4.4513
_cell_length_b 4.4513
_cell_length_c 4.4513
_cell_angle_alpha 60.00
_cell_angle_beta 60.00
_cell_angle_gamma 60.00
_symmetry_space_group_name_H-M 'P 1'
_symmetry_Int_Tables_number 1
_symmetry_space_group_name_Hall 'P 1'
loop_
_atom_site_label
_atom_site_type_symbol
_atom_site_fract_x
_atom_site_fract_y
_atom_site_fract_z
Zr1 Zr 0.0000 0.0000 0.0000
As1 As 0.7500 0.7500 0.7500
Ru1 Ru 0.2500 0.2500 0.2500
Ru2 Ru 0.5000 0.5000 0.5000
# formation energy from the elements: -0.068 eV per atom
# magnetization: 2.4 μB per cell



Record 3
# LiAl2Mo (meta-GGA SCAN, PBEsol geometry)
data_LiAl2Mo
_chemical_formula_sum 'Li1 Al2 Mo1'
_cell_length_a 2.8061
_cell_length_b 3.6415
_cell_length_c 5.8005
_cell_angle_alpha 90.00
_cell_angle_beta 90.00
_cell_angle_gamma 90.00
_symmetry_space_group_name_H-M 'P 1'
_symmetry_Int_Tables_number 1
_symmetry_space_group_name_Hall 'P 1'
loop_
_atom_site_label
_atom_site_type_symbol
_atom_site_fract_x
_atom_site_fract_y
_atom_site_fract_z
Li1 Li 0.0000 0.0000 0.0000
Al1 Al 0.5000 0.5000 0.2537
Al2 Al 0.5000 0.5000 0.7462
Mo1 Mo 0.0000 0.0000 0.5000
# E above lowest polymorph: 49 meV per atom
# formation energy from the elements: -0.145 eV per atom
# magnetization: 0.0 μB per cell



Record 4
# La2AlIn (meta-GGA SCAN, PBEsol geometry)
data_La2AlIn
_chemical_formula_sum 'La2 Al1 In1'
_cell_length_a 4.2502
_cell_length_b 4.8511
_cell_length_c 5.1956
_cell_angle_alpha 90.00
_cell_angle_beta 90.00
_cell_angle_gamma 90.00
_symmetry_space_group_name_H-M 'P 1'
_symmetry_Int_Tables_number 1
_symmetry_space_group_name_Hall 'P 1'
loop_
_atom_site_label
_atom_site_type_symbol
_atom_site_fract_x
_atom_site_fract_y
_atom_site_fract_z
La1 La 0.0000 0.0000 0.0000
La2 La 0.0000 0.5000 0.3910
Al1 Al 0.5000 0.0000 0.5133
In1 In 0.5000 0.5000 0.8701
# formation energy from the elements: -0.531 eV per atom
# magnetization: 0.0 μB per cell



Record 5
# LaCu2Br (meta-GGA SCAN, PBEsol geometry)
data_LaCu2Br
_chemical_formula_sum 'La1 Cu2 Br1'
_cell_length_a 5.9872
_cell_length_b 5.9359
_cell_length_c 4.0342
_cell_angle_alpha 70.91
_cell_angle_beta 69.54
_cell_angle_gamma 39.55
_symmetry_space_group_name_H-M 'P 1'
_symmetry_Int_Tables_number 1
_symmetry_space_group_name_Hall 'P 1'
loop_
_atom_site_label
_atom_site_type_symbol
_atom_site_fract_x
_atom_site_fract_y
_atom_site_fract_z
La1 La 0.0000 0.0000 0.0000
Cu1 Cu 0.0000 0.5000 0.5000
Cu2 Cu 0.5000 0.0000 0.0000
Br1 Br 0.5000 0.5000 0.5000
# E above lowest polymorph: 400 meV per atom
# formation energy from raw total energies: -149.6 meV/atom
# magnetization: 0.0 μB per cell



Record 6
# Mg2TlHg2 (meta-GGA SCAN, PBEsol geometry)
data_Mg2TlHg2
_chemical_formula_sum 'Mg4 Tl2 Hg4'
_cell_length_a 8.3235
_cell_length_b 8.3235
_cell_length_c 3.2556
_cell_angle_alpha 90.00
_cell_angle_beta 90.00
_cell_angle_gamma 90.00
_symmetry_space_group_name_H-M 'P 1'
_symmetry_Int_Tables_number 1
_symmetry_space_group_name_Hall 'P 1'
loop_
_atom_site_label
_atom_site_type_symbol
_atom_site_fract_x
_atom_site_fract_y
_atom_site_fract_z
Mg1 Mg 0.1692 0.3308 0.0000
Mg2 Mg 0.3308 0.8308 0.0000
Mg3 Mg 0.6692 0.1692 0.0000
Mg4 Mg 0.8308 0.6692 0.0000
Tl1 Tl 0.0000 0.0000 0.5000
Tl2 Tl 0.5000 0.5000 0.5000
Hg1 Hg 0.1289 0.6289 0.5000
Hg2 Hg 0.3711 0.1289 0.5000
Hg3 Hg 0.6289 0.8711 0.5000
Hg4 Hg 0.8711 0.3711 0.5000
# formation energy from the elements: -0.214 eV per atom
# magnetization: 0.0 μB per cell



Record 7
# ZnInTe2 (meta-GGA SCAN, PBEsol geometry)
data_ZnInTe2
_chemical_formula_sum 'Zn1 In1 Te2'
_cell_length_a 8.4729
_cell_length_b 8.4729
_cell_length_c 8.4729
_cell_angle_alpha 31.11
_cell_angle_beta 31.11
_cell_angle_gamma 31.11
_symmetry_space_group_name_H-M 'P 1'
_symmetry_Int_Tables_number 1
_symmetry_space_group_name_Hall 'P 1'
loop_
_atom_site_label
_atom_site_type_symbol
_atom_site_fract_x
_atom_site_fract_y
_atom_site_fract_z
Zn1 Zn 0.0000 0.0000 0.0000
In1 In 0.5000 0.5000 0.5000
Te1 Te 0.1013 0.1013 0.1013
Te2 Te 0.8987 0.8987 0.8987
# formation energy from raw total energies: -24.8 meV/atom
# magnetization: 0.0 μB per cell



Record 8
# CoSiSe (meta-GGA SCAN, PBEsol geometry)
data_CoSiSe
_chemical_formula_sum 'Co1 Si1 Se1'
_cell_length_a 3.9652
_cell_length_b 3.9652
_cell_length_c 3.9652
_cell_angle_alpha 60.00
_cell_angle_beta 60.00
_cell_angle_gamma 60.00
_symmetry_space_group_name_H-M 'P 1'
_symmetry_Int_Tables_number 1
_symmetry_space_group_name_Hall 'P 1'
loop_
_atom_site_label
_atom_site_type_symbol
_atom_site_fract_x
_atom_site_fract_y
_atom_site_fract_z
Co1 Co 0.0000 0.0000 0.0000
Si1 Si 0.7500 0.7500 0.7500
Se1 Se 0.2500 0.2500 0.2500
# formation energy from raw total energies: 55.6 meV/atom
# magnetization: 0.0 μB per cell



Record 9
# Li2CoSi (meta-GGA SCAN, PBEsol geometry)
data_Li2CoSi
_chemical_formula_sum 'Li2 Co1 Si1'
_cell_length_a 3.2494
_cell_length_b 3.2494
_cell_length_c 4.6174
_cell_angle_alpha 90.00
_cell_angle_beta 90.00
_cell_angle_gamma 90.00
_symmetry_space_group_name_H-M 'P 1'
_symmetry_Int_Tables_number 1
_symmetry_space_group_name_Hall 'P 1'
loop_
_atom_site_label
_atom_site_type_symbol
_atom_site_fract_x
_atom_site_fract_y
_atom_site_fract_z
Li1 Li 0.0000 0.0000 0.2370
Li2 Li 0.0000 0.0000 0.7630
Co1 Co 0.5000 0.5000 0.0000
Si1 Si 0.5000 0.5000 0.5000
# formation energy from raw total energies: 139.2 meV/atom
# magnetization: 1.2 μB per cell



Record 10
# CaCdRe2Sb (meta-GGA SCAN, PBEsol geometry)
data_CaCdRe2Sb
_chemical_formula_sum 'Ca1 Cd1 Re2 Sb1'
_cell_length_a 4.9312
_cell_length_b 4.9312
_cell_length_c 5.2298
_cell_angle_alpha 90.00
_cell_angle_beta 90.00
_cell_angle_gamma 90.00
_symmetry_space_group_name_H-M 'P 1'
_symmetry_Int_Tables_number 1
_symmetry_space_group_name_Hall 'P 1'
loop_
_atom_site_label
_atom_site_type_symbol
_atom_site_fract_x
_atom_site_fract_y
_atom_site_fract_z
Ca1 Ca 0.0000 0.0000 0.0000
Cd1 Cd 0.5000 0.5000 0.0000
Re1 Re 0.0000 0.5000 0.5000
Re2 Re 0.5000 0.0000 0.5000
Sb1 Sb 0.5000 0.5000 0.5000
# formation energy from raw total energies: 1555.1 meV/atom
# magnetization: 2.9 μB per cell



Record 11
# Sc2BeZn (meta-GGA SCAN, PBEsol geometry)
data_Sc2BeZn
_chemical_formula_sum 'Sc2 Be1 Zn1'
_cell_length_a 2.9715
_cell_length_b 2.9715
_cell_length_c 7.6323
_cell_angle_alpha 90.00
_cell_angle_beta 90.00
_cell_angle_gamma 90.00
_symmetry_space_group_name_H-M 'P 1'
_symmetry_Int_Tables_number 1
_symmetry_space_group_name_Hall 'P 1'
loop_
_atom_site_label
_atom_site_type_symbol
_atom_site_fract_x
_atom_site_fract_y
_atom_site_fract_z
Sc1 Sc 0.0000 0.0000 0.0000
Sc2 Sc 0.5000 0.5000 0.3344
Be1 Be 0.5000 0.5000 0.7580
Zn1 Zn 0.0000 0.0000 0.6001
# E above lowest polymorph: 195 meV per atom
# formation energy from the elements: -0.070 eV per atom
# magnetization: 0.0 μB per cell



Record 12
# Mg2Ta2VO8 (meta-GGA SCAN, PBEsol geometry)
data_Mg2Ta2VO8
_chemical_formula_sum 'Mg4 Ta4 V2 O16'
_cell_length_a 9.7783
_cell_length_b 9.7783
_cell_length_c 5.1698
_cell_angle_alpha 90.52
_cell_angle_beta 90.52
_cell_angle_gamma 35.32
_symmetry_space_group_name_H-M 'P 1'
_symmetry_Int_Tables_number 1
_symmetry_space_group_name_Hall 'P 1'
loop_
_atom_site_label
_atom_site_type_symbol
_atom_site_fract_x
_atom_site_fract_y
_atom_site_fract_z
Mg1 Mg 0.0823 0.3712 0.2546
Mg2 Mg 0.3712 0.0823 0.7546
Mg3 Mg 0.6288 0.9177 0.2454
Mg4 Mg 0.9177 0.6288 0.7454
Ta1 Ta 0.2240 0.5476 0.2512
Ta2 Ta 0.4524 0.7760 0.2488
Ta3 Ta 0.5476 0.2240 0.7512
Ta4 Ta 0.7760 0.4524 0.7488
V1 V 0.1390 0.8610 0.7500
V2 V 0.8610 0.1390 0.2500
O1 O 0.0460 0.3348 0.6175
O2 O 0.0676 0.8193 0.0879
O3 O 0.1807 0.9324 0.4121
O4 O 0.2160 0.4143 0.9561
O5 O 0.3154 0.5481 0.5923
O6 O 0.3348 0.0460 0.1175
O7 O 0.4143 0.2160 0.4561
O8 O 0.4519 0.6846 0.9077
O9 O 0.5481 0.3154 0.0923
O10 O 0.5857 0.7840 0.5439
O11 O 0.6652 0.9540 0.8825
O12 O 0.6846 0.4519 0.4077
O13 O 0.7840 0.5857 0.0439
O14 O 0.8193 0.0676 0.5879
O15 O 0.9324 0.1807 0.9121
O16 O 0.9540 0.6652 0.3825
# formation energy from raw total energies: -2961.7 meV/atom
# magnetization: 6.0 μB per cell



Record 13
# ScBi2CS (meta-GGA SCAN, PBEsol geometry)
data_ScBi2CS
_chemical_formula_sum 'Sc1 Bi2 C1 S1'
_cell_length_a 4.9954
_cell_length_b 4.9954
_cell_length_c 4.3749
_cell_angle_alpha 90.00
_cell_angle_beta 90.00
_cell_angle_gamma 90.00
_symmetry_space_group_name_H-M 'P 1'
_symmetry_Int_Tables_number 1
_symmetry_space_group_name_Hall 'P 1'
loop_
_atom_site_label
_atom_site_type_symbol
_atom_site_fract_x
_atom_site_fract_y
_atom_site_fract_z
Sc1 Sc 0.0000 0.0000 0.0000
Bi1 Bi 0.0000 0.5000 0.5000
Bi2 Bi 0.5000 0.0000 0.5000
C1 C 0.0000 0.0000 0.5000
S1 S 0.5000 0.5000 0.0000
# formation energy from raw total energies: 463.1 meV/atom
# magnetization: 0.0 μB per cell



Record 14
# SrTlHg2 (meta-GGA SCAN, PBEsol geometry)
data_SrTlHg2
_chemical_formula_sum 'Sr1 Tl1 Hg2'
_cell_length_a 4.9404
_cell_length_b 4.9404
_cell_length_c 4.4263
_cell_angle_alpha 90.00
_cell_angle_beta 90.00
_cell_angle_gamma 90.00
_symmetry_space_group_name_H-M 'P 1'
_symmetry_Int_Tables_number 1
_symmetry_space_group_name_Hall 'P 1'
loop_
_atom_site_label
_atom_site_type_symbol
_atom_site_fract_x
_atom_site_fract_y
_atom_site_fract_z
Sr1 Sr 0.0000 0.0000 0.0000
Tl1 Tl 0.5000 0.5000 0.0000
Hg1 Hg 0.0000 0.5000 0.5000
Hg2 Hg 0.5000 0.0000 0.5000
# E above lowest polymorph: 47 meV per atom
# formation energy from the elements: -0.432 eV per atom
# magnetization: 0.0 μB per cell



Record 15
# SrGdCoO4 (meta-GGA SCAN, PBEsol geometry)
data_SrGdCoO4
_chemical_formula_sum 'Sr1 Gd1 Co1 O4'
_cell_length_a 6.5418
_cell_length_b 6.5418
_cell_length_c 6.5418
_cell_angle_alpha 147.02
_cell_angle_beta 147.02
_cell_angle_gamma 47.33
_symmetry_space_group_name_H-M 'P 1'
_symmetry_Int_Tables_number 1
_symmetry_space_group_name_Hall 'P 1'
loop_
_atom_site_label
_atom_site_type_symbol
_atom_site_fract_x
_atom_site_fract_y
_atom_site_fract_z
Sr1 Sr 0.0000 0.0000 0.0000
Gd1 Gd 0.2806 0.2806 0.0000
Co1 Co 0.6353 0.6353 0.0000
O1 O 0.1556 0.6556 0.5000
O2 O 0.4721 0.4721 0.0000
O3 O 0.6556 0.1556 0.5000
O4 O 0.8016 0.8016 0.0000
# formation energy from raw total energies: -2752.3 meV/atom
# magnetization: 7.0 μB per cell



Record 16
# YPb2Se (meta-GGA SCAN, PBEsol geometry)
data_YPb2Se
_chemical_formula_sum 'Y1 Pb2 Se1'
_cell_length_a 4.2061
_cell_length_b 4.2061
_cell_length_c 5.9757
_cell_angle_alpha 90.00
_cell_angle_beta 90.00
_cell_angle_gamma 90.00
_symmetry_space_group_name_H-M 'P 1'
_symmetry_Int_Tables_number 1
_symmetry_space_group_name_Hall 'P 1'
loop_
_atom_site_label
_atom_site_type_symbol
_atom_site_fract_x
_atom_site_fract_y
_atom_site_fract_z
Y1 Y 0.0000 0.0000 0.0000
Pb1 Pb 0.0000 0.5000 0.5000
Pb2 Pb 0.5000 0.0000 0.5000
Se1 Se 0.5000 0.5000 0.0000
# formation energy from raw total energies: -666.9 meV/atom
# magnetization: 0.0 μB per cell



Record 17
# ZrCu2Te (meta-GGA SCAN, PBEsol geometry)
data_ZrCu2Te
_chemical_formula_sum 'Zr1 Cu2 Te1'
_cell_length_a 4.0630
_cell_length_b 4.0630
_cell_length_c 4.0663
_cell_angle_alpha 90.00
_cell_angle_beta 90.00
_cell_angle_gamma 90.00
_symmetry_space_group_name_H-M 'P 1'
_symmetry_Int_Tables_number 1
_symmetry_space_group_name_Hall 'P 1'
loop_
_atom_site_label
_atom_site_type_symbol
_atom_site_fract_x
_atom_site_fract_y
_atom_site_fract_z
Zr1 Zr 0.0000 0.0000 0.0000
Cu1 Cu 0.0000 0.5000 0.5000
Cu2 Cu 0.5000 0.0000 0.5000
Te1 Te 0.5000 0.5000 0.0000
# formation energy from raw total energies: -138.3 meV/atom
# magnetization: 0.0 μB per cell



Record 18
# K2BaCo (meta-GGA SCAN, PBEsol geometry)
data_K2BaCo
_chemical_formula_sum 'K2 Ba1 Co1'
_cell_length_a 5.9192
_cell_length_b 5.9192
_cell_length_c 5.9192
_cell_angle_alpha 60.00
_cell_angle_beta 60.00
_cell_angle_gamma 60.00
_symmetry_space_group_name_H-M 'P 1'
_symmetry_Int_Tables_number 1
_symmetry_space_group_name_Hall 'P 1'
loop_
_atom_site_label
_atom_site_type_symbol
_atom_site_fract_x
_atom_site_fract_y
_atom_site_fract_z
K1 K 0.0000 0.0000 0.0000
K2 K 0.2500 0.2500 0.2500
Ba1 Ba 0.5000 0.5000 0.5000
Co1 Co 0.7500 0.7500 0.7500
# E above lowest polymorph: 37 meV per atom
# formation energy from the elements: 0.625 eV per atom
# magnetization: 1.8 μB per cell



Record 19
# LiYPt2 (meta-GGA SCAN, PBEsol geometry)
data_LiYPt2
_chemical_formula_sum 'Li1 Y1 Pt2'
_cell_length_a 4.1844
_cell_length_b 4.1844
_cell_length_c 3.8257
_cell_angle_alpha 90.00
_cell_angle_beta 90.00
_cell_angle_gamma 90.00
_symmetry_space_group_name_H-M 'P 1'
_symmetry_Int_Tables_number 1
_symmetry_space_group_name_Hall 'P 1'
loop_
_atom_site_label
_atom_site_type_symbol
_atom_site_fract_x
_atom_site_fract_y
_atom_site_fract_z
Li1 Li 0.0000 0.0000 0.0000
Y1 Y 0.5000 0.5000 0.0000
Pt1 Pt 0.0000 0.5000 0.5000
Pt2 Pt 0.5000 0.0000 0.5000
# formation energy from the elements: -1.071 eV per atom
# magnetization: 0.0 μB per cell



Record 20
# K2InAu (meta-GGA SCAN, PBEsol geometry)
data_K2InAu
_chemical_formula_sum 'K2 In1 Au1'
_cell_length_a 4.7818
_cell_length_b 4.7818
_cell_length_c 8.4499
_cell_angle_alpha 106.16
_cell_angle_beta 106.16
_cell_angle_gamma 59.06
_symmetry_space_group_name_H-M 'P 1'
_symmetry_Int_Tables_number 1
_symmetry_space_group_name_Hall 'P 1'
loop_
_atom_site_label
_atom_site_type_symbol
_atom_site_fract_x
_atom_site_fract_y
_atom_site_fract_z
K1 K 0.0000 0.0000 0.0000
K2 K 0.1776 0.1776 0.5470
In1 In 0.7565 0.7565 0.2741
Au1 Au 0.4255 0.4255 0.2724
# formation energy from the elements: -0.303 eV per atom
# magnetization: 0.0 μB per cell